Model i:
Below is crystalline MgPaNO at its relaxed geometry, with properties calculated at the GGA-PBE level.

Lattice parameters (Å, degrees): 4.849 4.849 4.799 90.00 90.00 90.00
Fractional positions:
1 Mg 0.250 0.250 0.001
2 Mg 0.750 0.750 0.999
3 Pa 0.250 0.750 0.500
4 Pa 0.750 0.250 0.500
5 N 0.250 0.250 0.501
6 N 0.750 0.750 0.499
7 O 0.250 0.750 0.000
8 O 0.750 0.250 0.000

Output
Crystal system: tetragonal
Theoretical density in kg/m3: 8398



Model ii:
Below is crystalline MgPaNO at its relaxed geometry, with properties calculated at the GGA-PBE level.

Lattice parameters (Å, degrees): 5.892 7.989 5.128 90.00 90.00 90.00
Fractional positions:
1 Mg 0.074 0.102 0.000
2 Mg 0.426 0.102 0.500
3 Mg 0.574 0.898 0.000
4 Mg 0.926 0.898 0.500
5 Pa 0.046 0.638 0.037
6 Pa 0.454 0.638 0.537
7 Pa 0.546 0.362 0.037
8 Pa 0.954 0.362 0.537
9 N 0.066 0.660 0.539
10 N 0.434 0.660 0.039
11 N 0.566 0.340 0.539
12 N 0.934 0.340 0.039
13 O 0.105 0.092 0.610
14 O 0.395 0.092 0.110
15 O 0.605 0.908 0.610
16 O 0.895 0.908 0.110

Output
Crystal system: orthorhombic
Theoretical density in kg/m3: 7853



Which of them is most stable? Easy: model ii.



Model i:
Below is crystalline PmMgNO at its relaxed geometry, with properties calculated at the GGA-PBE level.

Lattice parameters (Å, degrees): 6.231 7.060 5.769 90.00 90.00 90.00
Fractional positions:
1 Pm 0.066 0.158 0.000
2 Pm 0.434 0.158 0.500
3 Pm 0.566 0.842 0.000
4 Pm 0.934 0.842 0.500
5 Mg 0.088 0.606 0.015
6 Mg 0.412 0.606 0.515
7 Mg 0.588 0.394 0.015
8 Mg 0.912 0.394 0.515
9 N 0.106 0.607 0.658
10 N 0.394 0.607 0.158
11 N 0.606 0.393 0.658
12 N 0.894 0.393 0.158
13 O 0.075 0.136 0.597
14 O 0.425 0.136 0.097
15 O 0.575 0.864 0.597
16 O 0.925 0.864 0.097

Output
Crystal system: orthorhombic
Theoretical density in kg/m3: 5217



Model ii:
Below is crystalline PmMgNO at its relaxed geometry, with properties calculated at the GGA-PBE level.

Lattice parameters (Å, degrees): 4.889 4.889 4.639 90.00 90.00 90.00
Fractional positions:
1 Pm 0.250 0.750 0.000
2 Pm 0.750 0.250 0.000
3 Mg 0.250 0.250 0.498
4 Mg 0.750 0.750 0.502
5 N 0.250 0.250 0.004
6 N 0.750 0.750 0.996
7 O 0.250 0.750 0.500
8 O 0.750 0.250 0.500

Output
Crystal system: tetragonal
Theoretical density in kg/m3: 5969



Model iii:
Below is crystalline PmMgNO at its relaxed geometry, with properties calculated at the GGA-PBE level.

Lattice parameters (Å, degrees): 3.620 6.092 5.791 90.00 90.00 90.00
Fractional positions:
1 Pm 0.000 0.194 0.000
2 Pm 0.000 0.806 0.500
3 Mg 0.500 0.336 0.499
4 Mg 0.500 0.664 0.999
5 N 0.500 0.359 0.849
6 N 0.500 0.641 0.349
7 O 0.000 0.176 0.405
8 O 0.000 0.824 0.905

Output
Crystal system: orthorhombic
Theoretical density in kg/m3: 5184



Which of them is most stable? Easy: model iii.



Model i:
Below is crystalline PmMgNO at its relaxed geometry, with properties calculated at the GGA-PBE level.

Lattice parameters (Å, degrees): 3.817 3.817 7.942 90.00 90.00 90.00
Fractional positions:
1 Pm 0.250 0.250 0.155
2 Pm 0.750 0.750 0.845
3 Mg 0.250 0.750 0.500
4 Mg 0.750 0.250 0.500
5 N 0.250 0.250 0.620
6 N 0.750 0.750 0.380
7 O 0.250 0.750 0.000
8 O 0.750 0.250 0.000

Output
Crystal system: tetragonal
Theoretical density in kg/m3: 5719



Model ii:
Below is crystalline PmMgNO at its relaxed geometry, with properties calculated at the GGA-PBE level.

Lattice parameters (Å, degrees): 3.903 6.098 5.211 90.00 90.00 90.00
Fractional positions:
1 Pm 0.000 0.197 0.000
2 Pm 0.000 0.803 0.500
3 Mg 0.500 0.323 0.519
4 Mg 0.500 0.677 0.019
5 N 0.000 0.184 0.464
6 N 0.000 0.816 0.964
7 O 0.500 0.365 0.904
8 O 0.500 0.635 0.404

Output
Crystal system: orthorhombic
Theoretical density in kg/m3: 5338



Model iii:
Below is crystalline PmMgNO at its relaxed geometry, with properties calculated at the GGA-PBE level.

Lattice parameters (Å, degrees): 5.868 7.782 5.217 90.00 90.00 90.00
Fractional positions:
1 Pm 0.046 0.148 0.000
2 Pm 0.454 0.148 0.500
3 Pm 0.546 0.852 0.000
4 Pm 0.954 0.852 0.500
5 Mg 0.074 0.606 0.980
6 Mg 0.426 0.606 0.480
7 Mg 0.574 0.394 0.980
8 Mg 0.926 0.394 0.480
9 N 0.056 0.146 0.529
10 N 0.444 0.146 0.029
11 N 0.556 0.854 0.529
12 N 0.944 0.854 0.029
13 O 0.110 0.586 0.603
14 O 0.390 0.586 0.103
15 O 0.610 0.414 0.603
16 O 0.890 0.414 0.103

Output
Crystal system: orthorhombic
Theoretical density in kg/m3: 5557



Which of them is most stable? Easy: model iii.



Model i:
Below is crystalline PrMgNO at its relaxed geometry, with properties calculated at the GGA-PBE level.

Lattice parameters (Å, degrees): 3.934 6.104 5.341 90.00 90.00 90.00
Fractional positions:
1 Pr 0.000 0.201 0.000
2 Pr 0.000 0.799 0.500
3 Mg 0.500 0.322 0.518
4 Mg 0.500 0.678 0.018
5 N 0.000 0.185 0.462
6 N 0.000 0.815 0.962
7 O 0.500 0.372 0.890
8 O 0.500 0.628 0.390

Output
Crystal system: orthorhombic
Theoretical density in kg/m3: 5055



Model ii:
Below is crystalline PrMgNO at its relaxed geometry, with properties calculated at the GGA-PBE level.

Lattice parameters (Å, degrees): 3.490 5.727 5.941 90.00 90.00 90.00
Fractional positions:
1 Pr 0.000 0.202 0.000
2 Pr 0.000 0.798 0.500
3 Mg 0.500 0.248 0.522
4 Mg 0.500 0.752 0.022
5 N 0.500 0.041 0.241
6 N 0.500 0.959 0.741
7 O 0.000 0.398 0.600
8 O 0.000 0.602 0.100

Output
Crystal system: orthorhombic
Theoretical density in kg/m3: 5460



Model iii:
Below is crystalline PrMgNO at its relaxed geometry, with properties calculated at the GGA-PBE level.

Lattice parameters (Å, degrees): 6.259 7.091 5.831 90.00 90.00 90.00
Fractional positions:
1 Pr 0.063 0.167 0.000
2 Pr 0.437 0.167 0.500
3 Pr 0.563 0.833 0.000
4 Pr 0.937 0.833 0.500
5 Mg 0.085 0.608 0.018
6 Mg 0.415 0.608 0.518
7 Mg 0.585 0.392 0.018
8 Mg 0.915 0.392 0.518
9 N 0.113 0.598 0.667
10 N 0.387 0.598 0.167
11 N 0.613 0.402 0.667
12 N 0.887 0.402 0.167
13 O 0.071 0.135 0.592
14 O 0.429 0.135 0.092
15 O 0.571 0.865 0.592
16 O 0.929 0.865 0.092

Output
Crystal system: orthorhombic
Theoretical density in kg/m3: 5011



Model iv:
Below is crystalline PrMgNO at its relaxed geometry, with properties calculated at the GGA-PBE level.

Lattice parameters (Å, degrees): 5.869 7.852 5.322 90.00 90.00 90.00
Fractional positions:
1 Pr 0.041 0.151 0.000
2 Pr 0.459 0.151 0.500
3 Pr 0.541 0.849 0.000
4 Pr 0.959 0.849 0.500
5 Mg 0.071 0.604 0.984
6 Mg 0.429 0.604 0.484
7 Mg 0.571 0.396 0.984
8 Mg 0.929 0.396 0.484
9 N 0.053 0.147 0.529
10 N 0.447 0.147 0.029
11 N 0.553 0.853 0.529
12 N 0.947 0.853 0.029
13 O 0.116 0.581 0.617
14 O 0.384 0.581 0.117
15 O 0.616 0.419 0.617
16 O 0.884 0.419 0.117

Output
Crystal system: orthorhombic
Theoretical density in kg/m3: 5287



Which of them is most stable? Easy: model iv.



Model i:
Below is crystalline MgReNO at its relaxed geometry, with properties calculated at the GGA-PBE level.

Lattice parameters (Å, degrees): 3.889 3.889 6.341 90.00 90.00 90.00
Fractional positions:
1 Mg 0.250 0.250 0.046
2 Mg 0.750 0.750 0.954
3 Re 0.250 0.750 0.500
4 Re 0.750 0.250 0.500
5 N 0.250 0.250 0.386
6 N 0.750 0.750 0.614
7 O 0.250 0.750 0.000
8 O 0.750 0.250 0.000

Output
Crystal system: tetragonal
Theoretical density in kg/m3: 8327



Model ii:
Below is crystalline MgReNO at its relaxed geometry, with properties calculated at the GGA-PBE level.

Lattice parameters (Å, degrees): 3.196 5.854 4.976 90.00 90.00 90.00
Fractional positions:
1 Mg 0.000 0.136 0.000
2 Mg 0.000 0.864 0.500
3 Re 0.500 0.409 0.434
4 Re 0.500 0.591 0.934
5 N 0.000 0.208 0.406
6 N 0.000 0.792 0.906
7 O 0.500 0.255 0.831
8 O 0.500 0.745 0.331

Output
Crystal system: orthorhombic
Theoretical density in kg/m3: 8579



Which of them is most stable? Easy: model ii.



Model i:
Below is crystalline MgReNO at its relaxed geometry, with properties calculated at the GGA-PBE level.

Lattice parameters (Å, degrees): 2.898 6.083 5.260 90.00 90.00 90.00
Fractional positions:
1 Mg 0.000 0.145 0.000
2 Mg 0.000 0.855 0.500
3 Re 0.500 0.411 0.448
4 Re 0.500 0.589 0.948
5 N 0.500 0.298 0.796
6 N 0.500 0.702 0.296
7 O 0.000 0.158 0.371
8 O 0.000 0.842 0.871

Output
Crystal system: orthorhombic
Theoretical density in kg/m3: 8615



Model ii:
Below is crystalline MgReNO at its relaxed geometry, with properties calculated at the GGA-PBE level.

Lattice parameters (Å, degrees): 5.698 7.297 4.502 90.00 90.00 90.00
Fractional positions:
1 Mg 0.079 0.133 0.000
2 Mg 0.421 0.133 0.500
3 Mg 0.579 0.867 0.000
4 Mg 0.921 0.867 0.500
5 Re 0.145 0.667 0.986
6 Re 0.355 0.667 0.486
7 Re 0.645 0.333 0.986
8 Re 0.855 0.333 0.486
9 N 0.057 0.136 0.512
10 N 0.443 0.136 0.012
11 N 0.557 0.864 0.512
12 N 0.943 0.864 0.012
13 O 0.026 0.412 0.063
14 O 0.474 0.412 0.563
15 O 0.526 0.588 0.063
16 O 0.974 0.588 0.563

Output
Crystal system: orthorhombic
Theoretical density in kg/m3: 8535



Which of them is most stable? Easy: model i.



Model i:
Below is crystalline SmMgNO at its relaxed geometry, with properties calculated at the GGA-PBE level.

Lattice parameters (Å, degrees): 3.610 6.102 5.749 90.00 90.00 90.00
Fractional positions:
1 Sm 0.000 0.189 0.000
2 Sm 0.000 0.811 0.500
3 Mg 0.500 0.340 0.500
4 Mg 0.500 0.660 0.000
5 N 0.500 0.354 0.854
6 N 0.500 0.646 0.354
7 O 0.000 0.178 0.404
8 O 0.000 0.822 0.904

Output
Crystal system: orthorhombic
Theoretical density in kg/m3: 5367



Model ii:
Below is crystalline SmMgNO at its relaxed geometry, with properties calculated at the GGA-PBE level.

Lattice parameters (Å, degrees): 3.892 6.096 5.155 90.00 90.00 90.00
Fractional positions:
1 Sm 0.000 0.195 0.000
2 Sm 0.000 0.805 0.500
3 Mg 0.500 0.324 0.520
4 Mg 0.500 0.676 0.020
5 N 0.000 0.184 0.466
6 N 0.000 0.816 0.966
7 O 0.500 0.362 0.910
8 O 0.500 0.638 0.410

Output
Crystal system: orthorhombic
Theoretical density in kg/m3: 5557



Model iii:
Below is crystalline SmMgNO at its relaxed geometry, with properties calculated at the GGA-PBE level.

Lattice parameters (Å, degrees): 5.879 7.753 5.174 90.00 90.00 90.00
Fractional positions:
1 Sm 0.049 0.147 0.000
2 Sm 0.451 0.147 0.500
3 Sm 0.549 0.853 0.000
4 Sm 0.951 0.853 0.500
5 Mg 0.076 0.607 0.979
6 Mg 0.424 0.607 0.479
7 Mg 0.576 0.393 0.979
8 Mg 0.924 0.393 0.479
9 N 0.057 0.145 0.528
10 N 0.443 0.145 0.028
11 N 0.557 0.855 0.528
12 N 0.943 0.855 0.028
13 O 0.107 0.588 0.598
14 O 0.393 0.588 0.098
15 O 0.607 0.412 0.598
16 O 0.893 0.412 0.098

Output
Crystal system: orthorhombic
Theoretical density in kg/m3: 5764



Which of them is most stable? Easy: model iii.



Model i:
Below is crystalline TbMgNO at its relaxed geometry, with properties calculated at the GGA-PBE level.

Lattice parameters (Å, degrees): 5.884 7.673 5.029 90.00 90.00 90.00
Fractional positions:
1 Tb 0.054 0.144 0.000
2 Tb 0.446 0.144 0.500
3 Tb 0.554 0.856 0.000
4 Tb 0.946 0.856 0.500
5 Mg 0.077 0.610 0.975
6 Mg 0.423 0.610 0.475
7 Mg 0.577 0.390 0.975
8 Mg 0.923 0.390 0.475
9 N 0.061 0.143 0.524
10 N 0.439 0.143 0.024
11 N 0.561 0.857 0.524
12 N 0.939 0.857 0.024
13 O 0.101 0.595 0.579
14 O 0.399 0.595 0.079
15 O 0.601 0.405 0.579
16 O 0.899 0.405 0.079

Output
Crystal system: orthorhombic
Theoretical density in kg/m3: 6238



Model ii:
Below is crystalline TbMgNO at its relaxed geometry, with properties calculated at the GGA-PBE level.

Lattice parameters (Å, degrees): 3.759 3.759 7.785 90.00 90.00 90.00
Fractional positions:
1 Tb 0.250 0.250 0.150
2 Tb 0.750 0.750 0.850
3 Mg 0.250 0.750 0.500
4 Mg 0.750 0.250 0.500
5 N 0.250 0.250 0.626
6 N 0.750 0.750 0.374
7 O 0.250 0.750 0.000
8 O 0.750 0.250 0.000

Output
Crystal system: tetragonal
Theoretical density in kg/m3: 6439



Which of them is most stable? Easy: model i.